# ZrMoOs

A geometry-optimized ZrMoOs structure (GGA-PBE, the Alexandria database).

```
ZrMoOs
1.0
4.5045 0.0000 0.0000
-2.2522 3.9010 0.0000
0.0000 0.0000 2.8961
Zr Mo Os
1 1 1
Direct
0.0000 0.0000 0.0000
0.6667 0.3333 0.3432
0.3333 0.6667 0.6493
```

## Properties
* spin magnetization: 0.0 μB per cell
* crystal system: trigonal
* ΔE to the lowest computed polymorph: 47.4 meV/atom
* DFT formation energy: -0.01 eV per atom
* uncorrected energy: -10.209 eV/atom